## LaDy2WO8 (GGA+U)

Data for an optimized crystal structure of LaDy2WO8.

abc: 7.093 7.179 7.069
angles: 90.00 90.00 90.00
Space group Cmmm (No. 65)
Inequivalent atoms, fractional coordinates:
La  0.000  0.000  0.000
Dy  0.000  0.500  0.261
W  0.000  0.000  0.500
O  0.000  0.185  0.297
O  0.180  0.500  0.000
O  0.222  0.500  0.500

Computed properties:
- ρ (Mg/m³) = 7.16
- calculated total energy (eV/atom) = -7.938